[1]
The following is a PBE calculation of a geometry-optimized ZnRh3Br structure, from Alexandria via LeMat-Bulk.

a = 4.581 Å, b = 4.581 Å, c = 4.581 Å
α = 90.00°, β = 90.00°, γ = 90.00°
Atoms (fractional coordinates):
Rh  0.000  0.500  0.000
Rh  0.500  0.000  0.000
Rh  0.000  0.000  0.500
Zn  0.500  0.500  0.500
Br  0.000  0.000  0.000

Calculated values
The space group is Pm-3m. The volume is 96.1 Å³/f.u.


[2]
The following is a PBE calculation of a geometry-optimized Tl3In4S8 structure, from Alexandria via LeMat-Bulk.

a = 7.874 Å, b = 8.023 Å, c = 8.023 Å
α = 89.54°, β = 119.34°, γ = 119.34°
Atoms (fractional coordinates):
S  0.468  0.218  0.218
S  0.031  0.778  0.778
S  0.532  0.782  0.782
S  0.500  0.765  0.235
S  0.000  0.763  0.237
S  0.500  0.235  0.765
S  0.000  0.237  0.763
S  0.969  0.222  0.222
In  0.000  0.000  0.500
In  0.000  0.500  0.000
In  0.500  0.000  0.000
In  0.000  0.000  0.000
Tl  0.500  0.500  0.500
Tl  0.500  0.000  0.500
Tl  0.500  0.500  0.000

Calculated values
The space group is C2/m. The volume is 366.8 Å³/f.u.


[3]
The following is a PBE calculation of a geometry-optimized HgTe2Rh structure, from Alexandria via LeMat-Bulk.

a = 5.027 Å, b = 5.027 Å, c = 5.027 Å
α = 60.00°, β = 60.00°, γ = 60.00°
Atoms (fractional coordinates):
Rh  0.000  0.000  0.000
Te  0.750  0.750  0.750
Te  0.250  0.250  0.250
Hg  0.500  0.500  0.500

Calculated values
The space group is Fm-3m. The volume is 89.8 Å³/f.u.


Number 1: density of states at the Fermi level 5.5 states/eV/f.u., raw total energy -4.07 eV/atom, spin magnetization 0.0 μB/cell. Number 2: density of states at the Fermi level 2.7 states/eV/f.u., raw total energy -3.79 eV/atom, spin magnetization 0.0 μB/cell. Number 3: density of states at the Fermi level 5.0 states/eV/f.u., raw total energy -3.16 eV/atom, spin magnetization 0.0 μB/cell.